Sm10S19 | the Open Quantum Materials Database | PBE-GGA | optimized geometry; symmetry = P4_2/n (86); VASP energy = -355.89 eV for the cell shown
1.0
8.831 0.000 0.000
0.000 8.831 0.000
0.000 0.000 16.041
S Sm
38 20
Direct
0.362 0.825 0.500
0.220 0.444 0.001
0.102 0.197 0.688
0.175 0.362 0.500
0.944 0.280 0.501
0.862 0.325 0.000
0.500 0.000 0.685
0.000 0.500 0.315
0.799 0.098 0.823
0.598 0.701 0.323
0.299 0.598 0.677
0.701 0.402 0.677
0.638 0.175 0.500
0.444 0.780 0.999
0.325 0.138 0.000
0.402 0.299 0.323
0.697 0.398 0.188
0.000 0.000 0.000
0.500 0.500 0.500
0.720 0.944 0.499
0.280 0.056 0.499
0.675 0.862 0.000
0.098 0.201 0.177
0.056 0.720 0.501
0.803 0.102 0.312
0.602 0.697 0.812
0.201 0.902 0.823
0.500 0.000 0.185
0.825 0.638 0.500
0.556 0.220 0.999
0.898 0.803 0.688
0.902 0.799 0.177
0.398 0.303 0.812
0.197 0.898 0.312
0.000 0.500 0.815
0.780 0.556 0.001
0.303 0.602 0.188
0.138 0.675 0.000
0.791 0.098 0.128
0.291 0.598 0.372
0.098 0.209 0.872
0.402 0.291 0.628
0.104 0.195 0.353
0.896 0.805 0.353
0.598 0.709 0.628
0.902 0.791 0.872
0.500 0.000 0.365
0.500 0.000 0.865
0.305 0.604 0.853
0.000 0.500 0.135
0.209 0.902 0.128
0.805 0.104 0.647
0.604 0.695 0.147
0.396 0.305 0.147
0.709 0.402 0.372
0.195 0.896 0.647
0.000 0.500 0.635
0.695 0.396 0.853